No. 1
Entry from Alexandria: a geometry-optimized Pm4IrPb structure (PBE).

## Properties
formation energy from the elements	-3.05	eV per formula unit
total moment	0.00	Bohr magnetons per cell
density of states at the Fermi level	20.47	states/eV per cell
SG	No. 216
volume	29.4	Å³/atom
offset from the most stable computed form	0.0000	eV/atom

Unit cell a=9.9940 b=9.9940 c=9.9940 alpha=60.00 beta=60.00 gamma=60.00
Closest atoms and distances in Å follow each position.
Atoms (fractional coordinates):
Pb 0.1608 0.1608 0.1608  9 Pm 3.25-3.62, 3 Pb 3.57
Pm 0.5605 0.9395 0.5605  2 Ir 2.91
Pm 0.5605 0.9395 0.9395  2 Ir 2.91
Pb 0.1608 0.1608 0.5177  9 Pm 3.25-3.62, 3 Pb 3.57
Pm 0.1960 0.8040 0.1960  2 Pb 3.25, 2 Pm 3.51, 2 Ir 3.51
Pm 0.4016 0.7953 0.4016  3 Ir 2.93
Pm 0.7953 0.4016 0.4016  3 Ir 2.93
Pm 0.5605 0.5605 0.9395  2 Ir 2.91
Ir 0.6081 0.6081 0.6081  6 Pm 2.91-2.93
Pm 0.4016 0.4016 0.4016  3 Ir 2.93
Ir 0.6081 0.6081 0.1757  6 Pm 2.91-2.93
Pb 0.5177 0.1608 0.1608  9 Pm 3.25-3.62, 3 Pb 3.57
Pm 0.9395 0.9395 0.5605  2 Ir 2.91
Pm 0.8040 0.1960 0.1960  2 Pb 3.25, 2 Pm 3.51, 2 Ir 3.51
Pb 0.1608 0.5177 0.1608  9 Pm 3.25-3.62, 3 Pb 3.57
Pm 0.9395 0.5605 0.5605  2 Ir 2.91
Pm 0.9395 0.5605 0.9395  2 Ir 2.91
Pm 0.4016 0.4016 0.7953  3 Ir 2.93
Pm 0.8040 0.8040 0.1960  2 Pb 3.25, 2 Pm 3.51, 2 Ir 3.51
Ir 0.1757 0.6081 0.6081  6 Pm 2.91-2.93
Pm 0.1960 0.8040 0.8040  2 Pb 3.25, 2 Pm 3.51, 2 Ir 3.51
Pm 0.8040 0.1960 0.8040  2 Pb 3.25, 2 Pm 3.51, 2 Ir 3.51
Ir 0.6081 0.1757 0.6081  6 Pm 2.91-2.93
Pm 0.1960 0.1960 0.8040  2 Pb 3.25, 2 Pm 3.51, 2 Ir 3.51

***

No. 2
Entry from Alexandria: a geometry-optimized Pm7Ir2Pb2 structure (PBE).

## Properties
formation energy from the elements	-4.84	eV per formula unit
total moment	0.00	Bohr magnetons per cell
density of states at the Fermi level	9.75	states/eV per cell
SG	No. 65
volume	31.8	Å³/atom

Unit cell a=7.0419 b=7.3352 c=7.0419 alpha=90.00 beta=105.60 gamma=90.00
Closest atoms and distances in Å follow each position.
Atoms (fractional coordinates):
Pm 0.4998 0.2319 0.5002  2 Ir 2.96-2.97
Pm 0.0002 0.7553 0.4997  2 Ir 2.81
Ir 0.2834 0.0000 0.7166  6 Pm 2.81-2.97
Pm 0.9998 0.2447 0.5003  2 Ir 2.81
Pb 0.1844 0.5000 0.1844  1 Pb 3.14, 6 Pm 3.33-3.42
Pm 0.0000 0.0000 0.0000  2 Ir 3.18
Pm 0.5003 0.7553 0.9998  2 Ir 2.81
Pm 0.4997 0.2447 0.0002  2 Ir 2.81
Ir 0.7166 0.0000 0.2834  6 Pm 2.81-2.97
Pm 0.5002 0.7681 0.4998  2 Ir 2.96-2.97
Pb 0.8156 0.5000 0.8156  1 Pb 3.14, 6 Pm 3.33-3.42

***

No. 3
Entry from Alexandria: a geometry-optimized Pm6Ir2Pb structure (PBE).

## Properties
formation energy from the elements	-4.75	eV per formula unit
total moment	0.00	Bohr magnetons per cell
density of states at the Fermi level	16.45	states/eV per cell
SG	No. 71
volume	28.8	Å³/atom
offset from the most stable computed form	0.0000	eV/atom

Unit cell a=8.7868 b=8.7868 c=8.7868 alpha=104.15 beta=110.68 gamma=113.73
Closest atoms and distances in Å follow each position.
Atoms (fractional coordinates):
Pm 0.6892 0.3578 0.6687  3 Ir 2.81-3.04
Pb 0.0000 0.5000 0.5000  12 Pm 3.50-3.76
Pm 0.3108 0.9795 0.6687  3 Ir 2.81-3.04
Pm 0.6892 0.0205 0.3313  3 Ir 2.81-3.04
Pm 0.5255 0.7064 0.8190  3 Ir 3.04-3.22, 1 Pb 3.35
Pm 0.8874 0.7064 0.1810  3 Ir 3.04-3.22, 1 Pb 3.35
Pm 0.2058 0.2337 0.4394  1 Ir 2.85
Ir 0.5000 0.3677 0.8677  6 Pm 2.81-3.04, 1 Ir 2.86
Ir 0.3371 0.0000 0.3371  6 Pm 2.85-3.04
Pm 0.4745 0.2936 0.1810  3 Ir 3.04-3.22, 1 Pb 3.35
Pm 0.3108 0.6422 0.3313  3 Ir 2.81-3.04
Ir 0.5000 0.6323 0.1323  6 Pm 2.81-3.04, 1 Ir 2.86
Ir 0.6629 0.0000 0.6629  6 Pm 2.85-3.04
Pm 0.2058 0.7663 0.9721  1 Ir 2.85
Pb 0.0000 0.0000 0.0000  8 Pm 3.26-3.35, 2 Ir 3.37
Pm 0.7942 0.2337 0.0279  1 Ir 2.85
Pm 0.7942 0.7663 0.5606  1 Ir 2.85
Pm 0.1126 0.2936 0.8190  3 Ir 3.04-3.22, 1 Pb 3.35

***

No. 4
Entry from Alexandria: a geometry-optimized Pm7IrPb2 structure (PBE).

## Properties
formation energy from the elements	0.63	eV per formula unit
total moment	0.00	Bohr magnetons per cell
density of states at the Fermi level	8.66	states/eV per cell
SG	No. 225
volume	34.5	Å³/atom

Unit cell a=7.8727 b=7.8727 c=7.8727 alpha=60.00 beta=60.00 gamma=60.00
Closest atoms and distances in Å follow each position.
Atoms (fractional coordinates):
Ir 0.0000 0.0000 0.0000  6 Pm 2.71
Pm 0.2433 0.7567 0.7567  1 Ir 2.71, 1 Pm 2.86
Pm 0.5000 0.5000 0.5000  6 Pm 2.86
Pm 0.2433 0.7567 0.2433  1 Ir 2.71, 1 Pm 2.86
Pm 0.7567 0.2433 0.7567  1 Ir 2.71, 1 Pm 2.86
Pm 0.7567 0.2433 0.2433  1 Ir 2.71, 1 Pm 2.86
Pm 0.2433 0.2433 0.7567  1 Ir 2.71, 1 Pm 2.86
Pb 0.2500 0.2500 0.2500  12 Pm 3.94
Pb 0.7500 0.7500 0.7500  12 Pm 3.94
Pm 0.7567 0.7567 0.2433  1 Ir 2.71, 1 Pm 2.86

***

Copy entry 3 word for word.
Entry from Alexandria: a geometry-optimized Pm6Ir2Pb structure (PBE).

## Properties
formation energy from the elements	-4.75	eV per formula unit
total moment	0.00	Bohr magnetons per cell
density of states at the Fermi level	16.45	states/eV per cell
SG	No. 71
volume	28.8	Å³/atom
offset from the most stable computed form	0.0000	eV/atom

Unit cell a=8.7868 b=8.7868 c=8.7868 alpha=104.15 beta=110.68 gamma=113.73
Closest atoms and distances in Å follow each position.
Atoms (fractional coordinates):
Pm 0.6892 0.3578 0.6687  3 Ir 2.81-3.04
Pb 0.0000 0.5000 0.5000  12 Pm 3.50-3.76
Pm 0.3108 0.9795 0.6687  3 Ir 2.81-3.04
Pm 0.6892 0.0205 0.3313  3 Ir 2.81-3.04
Pm 0.5255 0.7064 0.8190  3 Ir 3.04-3.22, 1 Pb 3.35
Pm 0.8874 0.7064 0.1810  3 Ir 3.04-3.22, 1 Pb 3.35
Pm 0.2058 0.2337 0.4394  1 Ir 2.85
Ir 0.5000 0.3677 0.8677  6 Pm 2.81-3.04, 1 Ir 2.86
Ir 0.3371 0.0000 0.3371  6 Pm 2.85-3.04
Pm 0.4745 0.2936 0.1810  3 Ir 3.04-3.22, 1 Pb 3.35
Pm 0.3108 0.6422 0.3313  3 Ir 2.81-3.04
Ir 0.5000 0.6323 0.1323  6 Pm 2.81-3.04, 1 Ir 2.86
Ir 0.6629 0.0000 0.6629  6 Pm 2.85-3.04
Pm 0.2058 0.7663 0.9721  1 Ir 2.85
Pb 0.0000 0.0000 0.0000  8 Pm 3.26-3.35, 2 Ir 3.37
Pm 0.7942 0.2337 0.0279  1 Ir 2.85
Pm 0.7942 0.7663 0.5606  1 Ir 2.85
Pm 0.1126 0.2936 0.8190  3 Ir 3.04-3.22, 1 Pb 3.35